The following is a DFT calculation (GGA-PBEsol) of crystalline K2CrPCO7 at its relaxed geometry.

Cell: 5.4878 6.5620 9.5953 Å, 90.00 91.18 90.00°
With the nearest neighbours (Å) after each atom.
Element x y z (fractional)
K1 0.2498 0.4742 0.2554  5 O 2.49-2.76
K2 0.2498 0.0258 0.2554  5 O 2.49-2.76
K3 0.7502 0.5258 0.7446  5 O 2.49-2.76
K4 0.7502 0.9742 0.7446  5 O 2.49-2.76
Cr1 0.7761 0.7500 0.1434  6 O 1.98-2.03
Cr2 0.2239 0.2500 0.8566  6 O 1.98-2.03
P1 0.7249 0.2500 0.0667  4 O 1.55-1.56
P2 0.2751 0.7500 0.9333  4 O 1.55-1.56
C1 0.7368 0.7500 0.3945  3 O 1.24-1.32
C2 0.2632 0.2500 0.6055  3 O 1.24-1.32
O1 0.2868 0.2500 0.4773  1 C 1.24
O2 0.9454 0.7500 0.3294  1 C 1.32
O3 0.5531 0.7500 0.3029  1 C 1.32
O4 0.7744 0.0582 0.1576  1 P 1.55
O5 0.7744 0.4418 0.1576  1 P 1.55
O6 0.1070 0.7500 0.0609  1 P 1.55
O7 0.4513 0.2500 0.0193  1 P 1.56
O8 0.5487 0.7500 0.9807  1 P 1.56
O9 0.8930 0.2500 0.9391  1 P 1.55
O10 0.2256 0.5582 0.8424  1 P 1.55
O11 0.2256 0.9418 0.8424  1 P 1.55
O12 0.4469 0.2500 0.6971  1 C 1.32
O13 0.0546 0.2500 0.6706  1 C 1.32
O14 0.7132 0.7500 0.5227  1 C 1.24

## Properties
Total magnetic moment   3.00 μB per formula unit
Calculated total energy   -176.70 eV per cell
Formation energy without anion corrections   -1.9716 eV/atom